# PBE ScTcAs, relaxed
# - DFT formation energy (meV/atom) = 321
# - final energy (eV per cell) = -81.54
# - distance to the lowest polymorph of the same formula (eV/atom) = 0.826
# - size of the total moment (Bohr magnetons per cell) = 0.000
data_ScTcAs
_chemical_formula_sum 'Sc4 Tc4 As4'
_cell_length_a 6.1874
_cell_length_b 6.1874
_cell_length_c 6.1874
_cell_angle_alpha 90.00
_cell_angle_beta 90.00
_cell_angle_gamma 90.00
_space_group_name_H-M_alt 'F -4 3 m'
_space_group_IT_number 216
_space_group_name_Hall 'F -4 2 3'
loop_
_atom_site_label
_atom_site_type_symbol
_atom_site_fract_x
_atom_site_fract_y
_atom_site_fract_z
_atom_site_occupancy
Sc1 Sc 0.0000 0.0000 0.0000 1
Tc1 Tc 0.2500 0.2500 0.2500 1
As1 As 0.2500 0.2500 0.7500 1

***

# PBE ScTc2As2, relaxed
# - DFT formation energy (meV/atom) = -425
# - final energy (eV per cell) = -76.97
# - distance to the lowest polymorph of the same formula (eV/atom) = 0.000
# - size of the total moment (Bohr magnetons per cell) = 0.000
data_ScTc2As2
_chemical_formula_sum 'Sc2 Tc4 As4'
_cell_length_a 4.2953
_cell_length_b 4.2953
_cell_length_c 9.5574
_cell_angle_alpha 90.00
_cell_angle_beta 90.00
_cell_angle_gamma 90.00
_space_group_name_H-M_alt 'I 4/m m m'
_space_group_IT_number 139
_space_group_name_Hall '-I 4 2'
loop_
_atom_site_label
_atom_site_type_symbol
_atom_site_fract_x
_atom_site_fract_y
_atom_site_fract_z
_atom_site_occupancy
Sc1 Sc 0.0000 0.0000 0.0000 1
Tc1 Tc 0.0000 0.5000 0.2500 1
As1 As 0.0000 0.0000 0.3697 1